(1)
{"formula": "Hf2Pd4Au", "functional": "GGA-PBE", "state": "optimized geometry", "lattice": [[6.169, 0.000, 0.000], [0.000, 5.170, 0.000], [-2.558, 0.000, 7.803]], "species": ["Hf", "Hf", "Hf", "Hf", "Pd", "Pd", "Pd", "Pd", "Pd", "Pd", "Pd", "Pd", "Au", "Au"], "frac_coords": [[0.180, 0.250, 0.077], [0.227, 0.250, 0.501], [0.773, 0.750, 0.499], [0.820, 0.750, 0.923], [0.119, 0.503, 0.771], [0.119, 0.997, 0.771], [0.437, 0.750, 0.042], [0.443, 0.750, 0.675], [0.557, 0.250, 0.325], [0.563, 0.250, 0.958], [0.881, 0.003, 0.229], [0.881, 0.497, 0.229], [0.299, 0.750, 0.323], [0.701, 0.250, 0.677]], "de_polymorph_mev_per_atom": 0, "space_group": "P2_1/m", "total_magnetization_mub_per_fu": 0.00}

(2)
{"formula": "HfPd2Au", "functional": "GGA-PBE", "state": "optimized geometry", "lattice": [[2.395, -5.156, 0.000], [2.395, 5.156, 0.000], [0.000, 0.000, 5.789]], "species": ["Hf", "Hf", "Pd", "Pd", "Pd", "Pd", "Au", "Au"], "frac_coords": [[0.141, 0.859, 0.750], [0.859, 0.141, 0.250], [0.369, 0.631, 0.001], [0.369, 0.631, 0.499], [0.631, 0.369, 0.501], [0.631, 0.369, 0.999], [0.132, 0.868, 0.250], [0.868, 0.132, 0.750]], "de_polymorph_mev_per_atom": 157, "space_group": "Cmcm", "total_magnetization_mub_per_fu": 0.00}

For reference, density of states at the Fermi level by record: 8.24; 3.05 states/eV/cell.